# NdNbCo10

A relaxed NdNbCo10 crystal (PBE, Alexandria via LeMat-Bulk).

```
NdNbCo10
1.0
-1.861 3.063 -1.738
-0.706 -2.662 -3.936
-7.308 -2.671 3.117
Nd Nb Co
1 1 10
Direct
0.000 0.000 0.000
0.000 0.500 0.500
0.000 0.000 0.348
0.000 0.500 0.812
0.000 0.500 0.188
0.000 0.000 0.652
0.500 0.000 0.500
0.500 0.500 0.000
0.500 0.258 0.263
0.500 0.742 0.737
0.500 0.742 0.263
0.500 0.258 0.737
```

Computed properties:
* total magnetization: 1.073 μB/atom
* ΔE_f: 0.02 eV/atom